(1)
# La5Hg2Au

A relaxed structure of La5Hg2Au (PBE, Alexandria via LeMat-Bulk).

Unit cell a=6.876 b=13.284 c=5.431 alpha=90.00 beta=90.00 gamma=90.00
Element x y z (fractional)
La 0.000 0.000 0.000
La 0.148 0.395 0.500
La 0.151 0.716 0.000
La 0.349 0.216 0.000
La 0.352 0.895 0.500
La 0.500 0.500 0.000
La 0.648 0.105 0.500
La 0.651 0.784 0.000
La 0.849 0.284 0.000
La 0.852 0.605 0.500
Hg 0.113 0.146 0.500
Hg 0.387 0.646 0.500
Hg 0.613 0.354 0.500
Hg 0.887 0.854 0.500
Au 0.000 0.500 0.000
Au 0.500 0.000 0.000

Properties
The volume comes out at 31.01 Å³ per atom. Its symmetry is Pbam, No. 55.


(2)
# La5HgAu

A relaxed structure of La5HgAu (PBE, Alexandria via LeMat-Bulk).

Unit cell a=6.279 b=6.279 c=12.107 alpha=101.33 beta=101.33 gamma=81.04
Element x y z (fractional)
La 0.033 0.967 0.750
La 0.052 0.464 0.142
La 0.235 0.532 0.451
La 0.464 0.052 0.642
La 0.468 0.765 0.049
La 0.532 0.235 0.951
La 0.536 0.948 0.358
La 0.765 0.468 0.549
La 0.948 0.536 0.858
La 0.967 0.033 0.250
Hg 0.425 0.575 0.750
Hg 0.575 0.425 0.250
Au 0.000 0.000 0.000
Au 0.000 0.000 0.500

Properties
The volume comes out at 32.53 Å³ per atom. Its symmetry is C2/c, No. 15.


(3)
# La8Hg2Au

A relaxed structure of La8Hg2Au (PBE, Alexandria via LeMat-Bulk).

Unit cell a=10.086 b=10.086 c=7.195 alpha=107.29 beta=107.29 gamma=30.77
Element x y z (fractional)
La 0.014 0.014 0.273
La 0.203 0.203 0.822
La 0.337 0.337 0.503
La 0.412 0.412 0.037
La 0.588 0.588 0.963
La 0.663 0.663 0.497
La 0.797 0.797 0.178
La 0.986 0.986 0.727
Hg 0.173 0.173 0.231
Hg 0.827 0.827 0.769
Au 0.500 0.500 0.500

Properties
The volume comes out at 32.39 Å³ per atom. Its symmetry is C2/m, No. 12.


(4)
# LaHg3Au3

A relaxed structure of LaHg3Au3 (PBE, Alexandria via LeMat-Bulk).

Unit cell a=7.824 b=4.583 c=9.999 alpha=90.00 beta=111.29 gamma=90.00
Element x y z (fractional)
La 0.177 0.250 0.284
La 0.823 0.750 0.716
Hg 0.131 0.250 0.655
Hg 0.297 0.750 0.066
Hg 0.429 0.750 0.831
Hg 0.571 0.250 0.169
Hg 0.703 0.250 0.934
Hg 0.869 0.750 0.345
Au 0.070 0.250 0.919
Au 0.254 0.750 0.522
Au 0.498 0.750 0.375
Au 0.502 0.250 0.625
Au 0.746 0.250 0.478
Au 0.930 0.750 0.081

Properties
The volume comes out at 23.86 Å³ per atom. Its symmetry is P2_1/m, No. 11.


(5)
# La2Hg2Au

A relaxed structure of La2Hg2Au (PBE, Alexandria via LeMat-Bulk).

Unit cell a=8.054 b=8.054 c=4.756 alpha=90.00 beta=90.00 gamma=90.00
Element x y z (fractional)
La 0.157 0.343 0.000
La 0.343 0.843 0.000
La 0.657 0.157 0.000
La 0.843 0.657 0.000
Hg 0.143 0.643 0.500
Hg 0.357 0.143 0.500
Hg 0.643 0.857 0.500
Hg 0.857 0.357 0.500
Au 0.000 0.000 0.000
Au 0.500 0.500 0.000

Properties
The energy above the most stable polymorph in this dataset comes out at 0.1134 eV/atom. The volume comes out at 30.85 Å³ per atom. Its symmetry is P4/mbm, No. 127.


(6)
# La4Hg3Au

A relaxed structure of La4Hg3Au (PBE, Alexandria via LeMat-Bulk).

Unit cell a=3.880 b=3.880 c=15.512 alpha=90.00 beta=90.00 gamma=90.00
Element x y z (fractional)
La 0.000 0.000 0.115
La 0.000 0.000 0.372
La 0.000 0.000 0.628
La 0.000 0.000 0.885
Hg 0.500 0.500 0.248
Hg 0.500 0.500 0.500
Hg 0.500 0.500 0.752
Au 0.500 0.500 0.000

Properties
The volume comes out at 29.19 Å³ per atom. Its symmetry is P4/mmm, No. 123.


(7)
# La2Hg2Au3

A relaxed structure of La2Hg2Au3 (PBE, Alexandria via LeMat-Bulk).

Unit cell a=7.878 b=7.878 c=7.878 alpha=109.47 beta=109.47 gamma=109.47
Element x y z (fractional)
La 0.000 0.007 0.500
La 0.007 0.500 0.000
La 0.493 0.493 0.493
La 0.500 0.000 0.007
Hg 0.000 0.619 0.500
Hg 0.500 0.000 0.619
Hg 0.619 0.500 0.000
Hg 0.881 0.881 0.881
Au 0.249 0.999 0.250
Au 0.250 0.249 0.999
Au 0.251 0.501 0.750
Au 0.501 0.750 0.251
Au 0.750 0.251 0.501
Au 0.999 0.250 0.249

Properties
The volume comes out at 26.88 Å³ per atom. Its symmetry is I2_13, No. 199.


(8)
# La2HgAu

A relaxed structure of La2HgAu (PBE, Alexandria via LeMat-Bulk).

Unit cell a=8.900 b=8.900 c=8.900 alpha=26.90 beta=26.90 gamma=26.90
Element x y z (fractional)
La 0.243 0.243 0.243
La 0.757 0.757 0.757
Hg 0.000 0.000 0.000
Au 0.500 0.500 0.500

Properties
The volume comes out at 31.82 Å³ per atom. Its symmetry is R-3m, No. 166.


(9)
# La4HgAu3

A relaxed structure of La4HgAu3 (PBE, Alexandria via LeMat-Bulk).

Unit cell a=4.017 b=4.921 c=11.623 alpha=90.00 beta=90.00 gamma=90.00
Element x y z (fractional)
La 0.000 0.000 0.000
La 0.000 0.500 0.263
La 0.500 0.000 0.487
La 0.500 0.500 0.767
Hg 0.000 0.000 0.714
Au 0.000 0.500 0.540
Au 0.500 0.000 0.216
Au 0.500 0.500 0.043

Properties
The volume comes out at 28.73 Å³ per atom. Its symmetry is Pmm2, No. 25.


(10)
# La2HgAu

A relaxed structure of La2HgAu (PBE, Alexandria via LeMat-Bulk).

Unit cell a=7.110 b=7.110 c=7.110 alpha=151.42 beta=129.45 gamma=59.10
Element x y z (fractional)
La 0.233 0.233 0.000
La 0.767 0.767 0.000
Hg 0.500 0.500 0.000
Au 0.000 0.000 0.000

Properties
The volume comes out at 32.95 Å³ per atom. Its symmetry is Immm, No. 71.


(11)
# La6Hg2Au

A relaxed structure of La6Hg2Au (PBE, Alexandria via LeMat-Bulk).

Unit cell a=9.066 b=9.066 c=3.977 alpha=90.00 beta=90.00 gamma=120.00
Element x y z (fractional)
La 0.000 0.258 0.000
La 0.000 0.598 0.500
La 0.258 0.000 0.000
La 0.402 0.402 0.500
La 0.598 0.000 0.500
La 0.742 0.742 0.000
Hg 0.333 0.667 0.000
Hg 0.667 0.333 0.000
Au 0.000 0.000 0.500

Properties
The energy above the most stable polymorph in this dataset comes out at 0.0000 eV/atom. The volume comes out at 31.46 Å³ per atom. Its symmetry is P-62m, No. 189.


(12)
# Li2LaHg2Au

A relaxed structure of Li2LaHg2Au (PBE, Alexandria via LeMat-Bulk).

Unit cell a=4.853 b=4.853 c=6.006 alpha=90.00 beta=90.00 gamma=90.00
Element x y z (fractional)
Li 0.000 0.500 0.000
Li 0.500 0.000 0.000
La 0.000 0.000 0.500
Hg 0.500 0.500 0.259
Hg 0.500 0.500 0.741
Au 0.000 0.000 0.000

Properties
The volume comes out at 23.57 Å³ per atom. Its symmetry is P4/mmm, No. 123.


Number 1: total DFT energy (no corrections) -3.997 eV per atom, density 8.65 Mg/m³, total magnetization 0.000 Bohr magnetons per cell. Number 2: total DFT energy (no corrections) -4.293 eV per atom, density 7.96 Mg/m³, total magnetization 0.000 Bohr magnetons per cell. Number 3: total DFT energy (no corrections) -4.249 eV per atom, density 7.97 Mg/m³, total magnetization 0.000 Bohr magnetons per cell. Number 4: total DFT energy (no corrections) -2.578 eV per atom, density 13.24 Mg/m³, total magnetization 0.000 Bohr magnetons per cell. Number 5: total DFT energy (no corrections) -3.108 eV per atom, density 9.43 Mg/m³, total magnetization 0.000 Bohr magnetons per cell. Number 6: total DFT energy (no corrections) -3.557 eV per atom, density 9.63 Mg/m³, total magnetization 0.437 Bohr magnetons per cell. Number 7: total DFT energy (no corrections) -3.363 eV per atom, density 11.21 Mg/m³, total magnetization 0.000 Bohr magnetons per cell. Number 8: total DFT energy (no corrections) -3.875 eV per atom, density 8.81 Mg/m³, total magnetization 0.000 Bohr magnetons per cell. Number 9: total DFT energy (no corrections) -4.456 eV per atom, density 9.73 Mg/m³, total magnetization 0.000 Bohr magnetons per cell. Number 10: total DFT energy (no corrections) -3.138 eV per atom, density 8.51 Mg/m³, total magnetization 0.000 Bohr magnetons per cell. Number 11: total DFT energy (no corrections) -4.119 eV per atom, density 8.40 Mg/m³, total magnetization 0.000 Bohr magnetons per cell. Number 12: total DFT energy (no corrections) -2.469 eV per atom, density 8.82 Mg/m³, total magnetization 0.000 Bohr magnetons per cell.